[1]
This record from Alexandria describes BeCd2Se at its PBEsol-relaxed geometry. The functional is meta-GGA SCAN.

ρ: 7.118 g/cm3
uncorrected formation energy: 276 meV/atom

CIF file:
```
data_BeCd2Se
_chemical_formula_sum 'Be1 Cd2 Se1'
_space_group_name_H-M_alt 'P m m m'
_space_group_IT_number 47
_space_group_name_Hall '-P 2 2'
_cell_length_a 2.769
_cell_length_b 3.370
_cell_length_c 7.820
_cell_angle_alpha 90.00
_cell_angle_beta 90.00
_cell_angle_gamma 90.00
loop_
_atom_site_label
_atom_site_fract_x
_atom_site_fract_y
_atom_site_fract_z
_atom_site_occupancy
Be1 0.000 0.000 0.000 1
Cd1 0.500 0.500 0.208 1
Se1 0.000 0.000 0.500 1
```

[2]
This record from Alexandria describes BeCd2Se at its PBEsol-relaxed geometry. The functional is meta-GGA SCAN.

ρ: 6.622 g/cm3
uncorrected formation energy: 570 meV/atom

CIF file:
```
data_BeCd2Se
_chemical_formula_sum 'Be4 Cd8 Se4'
_space_group_name_H-M_alt 'F m -3 m'
_space_group_IT_number 225
_space_group_name_Hall '-F 4 2 3'
_cell_length_a 6.795
_cell_length_b 6.795
_cell_length_c 6.795
_cell_angle_alpha 90.00
_cell_angle_beta 90.00
_cell_angle_gamma 90.00
loop_
_atom_site_label
_atom_site_fract_x
_atom_site_fract_y
_atom_site_fract_z
_atom_site_occupancy
Be1 0.000 0.000 0.000 1
Cd1 0.250 0.250 0.250 1
Se1 0.000 0.000 0.500 1
```

[3]
This record from Alexandria describes BeCd2Se at its PBEsol-relaxed geometry. The functional is meta-GGA SCAN.

ρ: 6.677 g/cm3
uncorrected formation energy: 394 meV/atom

CIF file:
```
data_BeCd2Se
_chemical_formula_sum 'Be1 Cd2 Se1'
_space_group_name_H-M_alt 'P 4/m m m'
_space_group_IT_number 123
_space_group_name_Hall '-P 4 2'
_cell_length_a 3.821
_cell_length_b 3.821
_cell_length_c 5.328
_cell_angle_alpha 90.00
_cell_angle_beta 90.00
_cell_angle_gamma 90.00
loop_
_atom_site_label
_atom_site_fract_x
_atom_site_fract_y
_atom_site_fract_z
_atom_site_occupancy
Be1 0.000 0.000 0.000 1
Cd1 0.000 0.500 0.500 1
Se1 0.500 0.500 0.000 1
```